[1]
Here is Tb3SmHg4 after structural relaxation from Alexandria. Energies are from PBE-GGA.

abc: 5.2781 7.5817 10.5547
angles: 90.00 90.00 90.00
Positions (direct):
Tb: 0.0000 0.0000 0.0000
Tb: 0.0000 0.0000 0.5000
Tb: 0.5011 0.0000 0.7500
Tb: 0.4989 0.0000 0.2500
Tb: 0.5011 0.5000 0.7500
Tb: 0.4989 0.5000 0.2500
Hg: 0.5000 0.7549 0.0000
Hg: 0.5000 0.7549 0.5000
Hg: 0.5000 0.2451 0.0000
Hg: 0.5000 0.2451 0.5000
Hg: 0.0014 0.7549 0.7500
Hg: 0.9986 0.7549 0.2500
Hg: 0.9986 0.2451 0.2500
Hg: 0.0014 0.2451 0.7500
Sm: 0.0000 0.5000 0.0000
Sm: 0.0000 0.5000 0.5000

## Properties
**Symmetry**: No. 51
**Total DFT energy (no corrections)**: -47.279 eV for the cell shown
**Offset from the most stable computed form**: 0 meV per atom

[2]
Here is Tb2SmHg8 after structural relaxation from Alexandria. Energies are from PBE-GGA.

abc: 5.1135 7.4775 8.5807
angles: 115.83 107.34 90.00
Positions (direct):
Tb: 0.1932 0.6931 0.3863
Tb: 0.8068 0.3069 0.6137
Sm: 0.5000 0.0000 0.0000
Hg: 0.6483 0.8591 0.2966
Hg: 0.3517 0.5625 0.7035
Hg: 0.1569 0.1570 0.3139
Hg: 0.0000 0.2930 0.9999
Hg: 0.8431 0.8430 0.6861
Hg: 0.6483 0.4375 0.2965
Hg: 0.3517 0.1409 0.7034
Hg: 0.0000 0.7070 0.0001

## Properties
**Symmetry**: No. 71
**Total DFT energy (no corrections)**: -19.903 eV for the cell shown
**Offset from the most stable computed form**: 11 meV per atom

[3]
Here is Tb2Sm3Hg4 after structural relaxation from Alexandria. Energies are from PBE-GGA.

abc: 6.9355 8.0772 9.9670
angles: 90.00 110.36 90.00
Positions (direct):
Tb: 0.0940 0.5857 0.1880
Tb: 0.9060 0.4143 0.8120
Tb: 0.4060 0.0857 0.8120
Tb: 0.5940 0.9143 0.1880
Sm: 0.0000 0.0000 0.0000
Sm: 0.5000 0.5000 0.0000
Sm: 0.5108 0.7500 0.5216
Sm: 0.9892 0.2500 0.4784
Sm: 0.4892 0.2500 0.4784
Sm: 0.0108 0.7500 0.5216
Hg: 0.6795 0.7500 0.8589
Hg: 0.8205 0.2500 0.1411
Hg: 0.3205 0.2500 0.1411
Hg: 0.1795 0.7500 0.8589
Hg: 0.1618 0.9632 0.3235
Hg: 0.8382 0.0368 0.6765
Hg: 0.3382 0.4632 0.6765
Hg: 0.6618 0.5368 0.3235

## Properties
**Symmetry**: No. 64
**Total DFT energy (no corrections)**: -54.605 eV for the cell shown

[4]
Here is Tb8SmHg2 after structural relaxation from Alexandria. Energies are from PBE-GGA.

abc: 5.5841 8.6814 8.6814
angles: 119.08 100.37 100.37
Positions (direct):
Tb: 0.8925 0.9077 0.6792
Tb: 0.8925 0.6792 0.9077
Tb: 0.2983 0.5996 0.5996
Tb: 0.5000 0.7748 0.2252
Tb: 0.5000 0.2252 0.7748
Tb: 0.7017 0.4004 0.4004
Tb: 0.1075 0.3208 0.0923
Tb: 0.1075 0.0923 0.3208
Sm: 0.5000 0.0000 0.0000
Hg: 0.0000 0.3059 0.6941
Hg: 0.0000 0.6941 0.3059

## Properties
**Symmetry**: No. 12
**Total DFT energy (no corrections)**: -42.934 eV for the cell shown

[5]
Here is TbSmHg after structural relaxation from Alexandria. Energies are from PBE-GGA.

abc: 5.1444 9.3468 7.2326
angles: 90.00 90.00 90.00
Positions (direct):
Tb: 0.7500 0.9248 0.1668
Tb: 0.7500 0.5752 0.6668
Tb: 0.2500 0.0752 0.8332
Tb: 0.2500 0.4248 0.3332
Sm: 0.2500 0.8081 0.4853
Sm: 0.7500 0.3081 0.0147
Sm: 0.2500 0.6919 0.9853
Sm: 0.7500 0.1919 0.5147
Hg: 0.7500 0.6022 0.2430
Hg: 0.7500 0.8978 0.7430
Hg: 0.2500 0.1022 0.2570
Hg: 0.2500 0.3978 0.7570

## Properties
**Symmetry**: No. 62
**Total DFT energy (no corrections)**: -42.766 eV for the cell shown
**Offset from the most stable computed form**: 0 meV per atom

[6]
Here is Tb2Sm3Hg7 after structural relaxation from Alexandria. Energies are from PBE-GGA.

abc: 5.5406 5.1995 11.8327
angles: 102.69 90.00 90.00
Positions (direct):
Tb: 0.0000 0.8573 0.7146
Tb: 0.0000 0.1427 0.2854
Sm: 0.5000 0.5000 0.0000
Sm: 0.5000 0.6692 0.3384
Sm: 0.5000 0.3308 0.6616
Hg: 0.0000 0.4250 0.8501
Hg: 0.0000 0.7233 0.4467
Hg: 0.0000 0.0000 0.0000
Hg: 0.0000 0.5750 0.1499
Hg: 0.5000 0.0857 0.1713
Hg: 0.5000 0.9143 0.8287
Hg: 0.0000 0.2767 0.5533

## Properties
**Symmetry**: No. 65
**Total DFT energy (no corrections)**: -29.439 eV for the cell shown

[7]
Here is TbSm3Hg7 after structural relaxation from Alexandria. Energies are from PBE-GGA.

abc: 3.9218 12.6145 12.0241
angles: 90.00 90.00 98.94
Positions (direct):
Tb: 0.9053 0.8106 0.2500
Tb: 0.0947 0.1894 0.7500
Sm: 0.0778 0.1557 0.4304
Sm: 0.9222 0.8443 0.5696
Sm: 0.2428 0.4855 0.7500
Sm: 0.7572 0.5145 0.2500
Sm: 0.0778 0.1557 0.0696
Sm: 0.9222 0.8443 0.9304
Hg: 0.3695 0.7391 0.7500
Hg: 0.6305 0.2609 0.2500
Hg: 0.4770 0.9540 0.3829
Hg: 0.5230 0.0460 0.6171
Hg: 0.5230 0.0460 0.8829
Hg: 0.4770 0.9540 0.1171
Hg: 0.3413 0.6825 0.4024
Hg: 0.6587 0.3175 0.5976
Hg: 0.2080 0.4161 0.4309
Hg: 0.7920 0.5839 0.5691
Hg: 0.7920 0.5839 0.9309
Hg: 0.2080 0.4161 0.0691
Hg: 0.3413 0.6825 0.0976
Hg: 0.6587 0.3175 0.9024

## Properties
**Symmetry**: No. 63
**Total DFT energy (no corrections)**: -49.904 eV for the cell shown

[8]
Here is Tb3Sm2Hg2 after structural relaxation from Alexandria. Energies are from PBE-GGA.

abc: 5.4215 5.4183 8.5905
angles: 108.41 90.00 120.02
Positions (direct):
Tb: 0.5000 0.0000 0.0000
Tb: 0.6578 0.3156 0.4735
Tb: 0.3422 0.6844 0.5265
Sm: 0.9244 0.8489 0.2732
Sm: 0.0756 0.1511 0.7268
Hg: 0.7864 0.5728 0.8597
Hg: 0.2136 0.4272 0.1403

## Properties
**Symmetry**: No. 12
**Total DFT energy (no corrections)**: -25.613 eV for the cell shown
**Offset from the most stable computed form**: 0 meV per atom

no.,DFT formation energy (eV per atom)
1,-0.48
2,-0.32
3,-0.30
4,-0.05
5,-0.35
6,-0.33
7,-0.37
8,-0.24